# Cu2PbO3 (GGA-PBE, optimized geometry)
# - D(E_F): 5.6 states/eV/f.u.
# - Density: 7.18 g/cm3
# - V: 353.7 Å³ per cell
# - Crystal system: orthorhombic
# - Raw formation energy: -0.48 eV per atom
# - Total magnetization: 2.7 μB per cell
data_Cu2PbO3
_chemical_formula_sum 'Cu8 Pb4 O12'
_symmetry_space_group_name_H-M 'C m c m'
_symmetry_Int_Tables_number 63
_symmetry_space_group_name_Hall '-C 2c 2'
_cell_length_a 6.787
_cell_length_b 10.498
_cell_length_c 4.965
_cell_angle_alpha 90.00
_cell_angle_beta 90.00
_cell_angle_gamma 90.00
loop_
_atom_site_label
_atom_site_type_symbol
_atom_site_fract_x
_atom_site_fract_y
_atom_site_fract_z
_atom_site_occupancy
Cu1 Cu 0.204 0.000 0.000 1
Pb1 Pb 0.000 0.276 0.250 1
O1 O 0.000 0.091 0.750 1
O2 O 0.247 0.369 0.750 1



# CsTmCd (GGA-PBE, optimized geometry)
# - D(E_F): 2.7 states/eV/f.u.
# - Density: 5.72 g/cm3
# - V: 480.6 Å³ per cell
# - Crystal system: orthorhombic
# - Total magnetization: 0.0 μB per cell
# - Formation enthalpy at 0 K: 0.31 eV/atom
data_CsTmCd
_chemical_formula_sum 'Cs4 Tm4 Cd4'
_symmetry_space_group_name_H-M 'A m m 2'
_symmetry_Int_Tables_number 38
_cell_length_a 18.108
_cell_length_b 3.917
_cell_length_c 6.777
_cell_angle_alpha 90.00
_cell_angle_beta 90.00
_cell_angle_gamma 90.00
loop_
_symmetry_equiv_pos_as_xyz
'x,y,z'
'-x,-y,z'
'-x,y,z'
'x,-y,z'
'x,y+1/2,z+1/2'
'-x,-y+1/2,z+1/2'
'-x,y+1/2,z+1/2'
'x,-y+1/2,z+1/2'
loop_
_atom_site_label
_atom_site_type_symbol
_atom_site_fract_x
_atom_site_fract_y
_atom_site_fract_z
_atom_site_occupancy
Cs1 Cs 0.175 0.000 0.000 1
Tm1 Tm 0.381 0.000 0.338 1
Cd1 Cd 0.000 0.000 0.334 1
Cd2 Cd 0.500 0.000 0.004 1



# Hg2GeTe4Pb (GGA-PBE, optimized geometry)
# - D(E_F): 1.3 states/eV/f.u.
# - Density: 6.15 g/cm3
# - V: 1287.2 Å³ per cell
# - Crystal system: orthorhombic
# - Raw formation energy: -0.07 eV per atom
# - Total magnetization: 0.0 μB per cell
data_Hg2GeTe4Pb
_chemical_formula_sum 'Hg8 Ge4 Te16 Pb4'
_symmetry_space_group_name_H-M 'F m m 2'
_symmetry_Int_Tables_number 42
_symmetry_space_group_name_Hall 'F 2 -2'
_cell_length_a 9.603
_cell_length_b 9.613
_cell_length_c 13.943
_cell_angle_alpha 90.00
_cell_angle_beta 90.00
_cell_angle_gamma 90.00
loop_
_atom_site_label
_atom_site_type_symbol
_atom_site_fract_x
_atom_site_fract_y
_atom_site_fract_z
_atom_site_occupancy
Hg1 Hg 0.250 0.250 0.000 1
Ge1 Ge 0.000 0.000 0.250 1
Te1 Te 0.000 0.231 0.384 1
Te2 Te 0.231 0.000 0.116 1
Pb1 Pb 0.000 0.000 0.750 1



# KSrN3 (GGA-PBE, optimized geometry)
# - D(E_F): 3.9 states/eV/f.u.
# - Density: 2.69 g/cm3
# - V: 104.1 Å³ per cell
# - Crystal system: cubic
# - Raw formation energy: 1.90 eV per atom
# - Total magnetization: 6.0 μB per cell
data_KSrN3
_chemical_formula_sum 'K1 Sr1 N3'
_symmetry_space_group_name_H-M 'P m -3 m'
_symmetry_Int_Tables_number 221
_symmetry_space_group_name_Hall '-P 4 2 3'
_cell_length_a 4.705
_cell_length_b 4.705
_cell_length_c 4.705
_cell_angle_alpha 90.00
_cell_angle_beta 90.00
_cell_angle_gamma 90.00
loop_
_atom_site_label
_atom_site_type_symbol
_atom_site_fract_x
_atom_site_fract_y
_atom_site_fract_z
_atom_site_occupancy
K1 K 0.000 0.000 0.000 1
Sr1 Sr 0.500 0.500 0.500 1
N1 N 0.000 0.000 0.500 1



# TbSc2CdPd4 (GGA-PBE, optimized geometry)
# - D(E_F): 5.8 states/eV/f.u.
# - Density: 8.66 g/cm3
# - V: 452.8 Å³ per cell
# - Crystal system: trigonal
# - Total magnetization: 0.0 μB per cell
# - Formation enthalpy at 0 K: -0.78 eV/atom
data_TbSc2CdPd4
_chemical_formula_sum 'Tb3 Sc6 Cd3 Pd12'
_symmetry_space_group_name_H-M 'R -3 m'
_symmetry_Int_Tables_number 166
_symmetry_space_group_name_Hall '-R 3 2"'
_cell_length_a 4.7399
_cell_length_b 4.7399
_cell_length_c 23.2738
_cell_angle_alpha 90.00
_cell_angle_beta 90.00
_cell_angle_gamma 120.00
loop_
_atom_site_label
_atom_site_type_symbol
_atom_site_fract_x
_atom_site_fract_y
_atom_site_fract_z
_atom_site_occupancy
Tb1 Tb 0.0000 0.0000 0.0000 1
Sc1 Sc 0.0000 0.0000 0.2435 1
Cd1 Cd 0.0000 0.0000 0.5000 1
Pd1 Pd 0.0000 0.0000 0.1225 1
Pd2 Pd 0.0000 0.0000 0.3756 1



# ErGa2Pt4 (GGA-PBE, optimized geometry)
# - D(E_F): 2.9 states/eV/f.u.
# - Density: 14.81 g/cm3
# - V: 243.8 Å³ per cell
# - Crystal system: tetragonal
# - Total magnetization: 0.0 μB per cell
# - Formation enthalpy at 0 K: -0.82 eV/atom
# - Energy above the lowest structure with this stoichiometry: 22.5 meV/atom
data_ErGa2Pt4
_chemical_formula_sum 'Er2 Ga4 Pt8'
_symmetry_space_group_name_H-M 'P 42/m n m'
_symmetry_Int_Tables_number 136
_symmetry_space_group_name_Hall '-P 4n 2n'
_cell_length_a 7.837
_cell_length_b 7.837
_cell_length_c 3.969
_cell_angle_alpha 90.00
_cell_angle_beta 90.00
_cell_angle_gamma 90.00
loop_
_atom_site_label
_atom_site_type_symbol
_atom_site_fract_x
_atom_site_fract_y
_atom_site_fract_z
_atom_site_occupancy
Er1 Er 0.000 0.000 0.000 1
Ga1 Ga 0.225 0.225 0.500 1
Pt1 Pt 0.076 0.673 0.500 1



# LaTb2Se (GGA-PBE, optimized geometry)
# - D(E_F): 5.8 states/eV/f.u.
# - Density: 6.92 g/cm3
# - V: 385.5 Å³ per cell
# - Crystal system: trigonal
# - Raw formation energy: -0.62 eV per atom
# - Total magnetization: 0.0 μB per cell
# - Energy above the lowest structure with this stoichiometry: 189.1 meV/atom
data_LaTb2Se
_chemical_formula_sum 'La3 Tb6 Se3'
_symmetry_space_group_name_H-M 'R -3 m'
_symmetry_Int_Tables_number 166
_symmetry_space_group_name_Hall '-R 3 2"'
_cell_length_a 3.7494
_cell_length_b 3.7494
_cell_length_c 31.6666
_cell_angle_alpha 90.00
_cell_angle_beta 90.00
_cell_angle_gamma 120.00
loop_
_atom_site_label
_atom_site_type_symbol
_atom_site_fract_x
_atom_site_fract_y
_atom_site_fract_z
_atom_site_occupancy
La1 La 0.0000 0.0000 0.0000 1
Tb1 Tb 0.0000 0.0000 0.1097 1
Se1 Se 0.0000 0.0000 0.5000 1



# Sr3CaHg (GGA-PBE, optimized geometry)
# - D(E_F): 10.7 states/eV/f.u.
# - Density: 2.51 g/cm3
# - V: 333.6 Å³ per cell
# - Crystal system: cubic
# - Total magnetization: 2.0 μB per cell
# - Formation enthalpy at 0 K: 0.60 eV/atom
# - Energy above the lowest structure with this stoichiometry: 819.1 meV/atom
data_Sr3CaHg
_chemical_formula_sum 'Sr3 Ca1 Hg1'
_symmetry_space_group_name_H-M 'P m -3 m'
_symmetry_Int_Tables_number 221
_symmetry_space_group_name_Hall '-P 4 2 3'
_cell_length_a 6.935
_cell_length_b 6.935
_cell_length_c 6.935
_cell_angle_alpha 90.00
_cell_angle_beta 90.00
_cell_angle_gamma 90.00
loop_
_atom_site_label
_atom_site_type_symbol
_atom_site_fract_x
_atom_site_fract_y
_atom_site_fract_z
_atom_site_occupancy
Sr1 Sr 0.000 0.000 0.500 1
Ca1 Ca 0.000 0.000 0.000 1
Hg1 Hg 0.500 0.500 0.500 1



# ScTaCl (GGA-PBE, optimized geometry)
# - D(E_F): 3.5 states/eV/f.u.
# - Density: 6.43 g/cm3
# - V: 67.5 Å³ per cell
# - Crystal system: trigonal
# - Raw formation energy: -0.34 eV per atom
# - Total magnetization: 0.0 μB per cell
# - Energy above the lowest structure with this stoichiometry: 0.0 meV/atom
data_ScTaCl
_chemical_formula_sum 'Sc1 Ta1 Cl1'
_symmetry_space_group_name_H-M 'P 3 m 1'
_symmetry_Int_Tables_number 156
_cell_length_a 3.1770
_cell_length_b 3.1770
_cell_length_c 7.7213
_cell_angle_alpha 90.00
_cell_angle_beta 90.00
_cell_angle_gamma 120.00
loop_
_symmetry_equiv_pos_as_xyz
'x,y,z'
'-y,x-y,z'
'-x+y,-x,z'
'-y,-x,z'
'-x+y,y,z'
'x,x-y,z'
loop_
_atom_site_label
_atom_site_type_symbol
_atom_site_fract_x
_atom_site_fract_y
_atom_site_fract_z
_atom_site_occupancy
Sc1 Sc 0.0000 0.0000 0.0000 1
Ta1 Ta 0.6667 0.3333 0.2983 1
Cl1 Cl 0.3333 0.6667 0.7696 1



# CrRuSe2 (GGA-PBE, optimized geometry)
# - D(E_F): 3.6 states/eV/f.u.
# - Density: 8.25 g/cm3
# - V: 62.6 Å³ per cell
# - Crystal system: orthorhombic
# - Raw formation energy: 0.10 eV per atom
# - Total magnetization: 2.7 μB per cell
# - Energy above the lowest structure with this stoichiometry: 371.8 meV/atom
data_CrRuSe2
_chemical_formula_sum 'Cr1 Ru1 Se2'
_symmetry_space_group_name_H-M 'P m m m'
_symmetry_Int_Tables_number 47
_cell_length_a 3.170
_cell_length_b 4.426
_cell_length_c 4.460
_cell_angle_alpha 90.00
_cell_angle_beta 90.00
_cell_angle_gamma 90.00
loop_
_symmetry_equiv_pos_as_xyz
'x,y,z'
'-x,-y,-z'
'-x,-y,z'
'x,y,-z'
'x,-y,-z'
'-x,y,z'
'-x,y,-z'
'x,-y,z'
loop_
_atom_site_label
_atom_site_type_symbol
_atom_site_fract_x
_atom_site_fract_y
_atom_site_fract_z
_atom_site_occupancy
Cr1 Cr 0.000 0.000 0.000 1
Ru1 Ru 0.000 0.500 0.500 1
Se1 Se 0.500 0.000 0.500 1
Se2 Se 0.500 0.500 0.000 1



# ZrAl4Si (GGA-PBE, optimized geometry)
# - D(E_F): 2.4 states/eV/f.u.
# - Density: 3.51 g/cm3
# - V: 429.6 Å³ per cell
# - Crystal system: orthorhombic
# - Raw formation energy: 0.01 eV per atom
# - Total magnetization: 0.0 μB per cell
# - Energy above the lowest structure with this stoichiometry: 119.0 meV/atom
data_ZrAl4Si
_chemical_formula_sum 'Zr4 Al16 Si4'
_symmetry_space_group_name_H-M 'C m c m'
_symmetry_Int_Tables_number 63
_symmetry_space_group_name_Hall '-C 2c 2'
_cell_length_a 3.248
_cell_length_b 16.555
_cell_length_c 7.990
_cell_angle_alpha 90.00
_cell_angle_beta 90.00
_cell_angle_gamma 90.00
loop_
_atom_site_label
_atom_site_type_symbol
_atom_site_fract_x
_atom_site_fract_y
_atom_site_fract_z
_atom_site_occupancy
Zr1 Zr 0.000 0.243 0.250 1
Al1 Al 0.000 0.000 0.000 1
Al2 Al 0.000 0.152 0.549 1
Al3 Al 0.000 0.439 0.250 1
Si1 Si 0.000 0.402 0.750 1



# KCdAg2 (GGA-PBE, optimized geometry)
# - D(E_F): 1.2 states/eV/f.u.
# - Density: 5.76 g/cm3
# - V: 211.8 Å³ per cell
# - Crystal system: orthorhombic
# - Total magnetization: 0.0 μB per cell
# - Formation enthalpy at 0 K: 0.13 eV/atom
# - Energy above the lowest structure with this stoichiometry: 170.2 meV/atom
data_KCdAg2
_chemical_formula_sum 'K2 Cd2 Ag4'
_symmetry_space_group_name_H-M 'I m m m'
_symmetry_Int_Tables_number 71
_symmetry_space_group_name_Hall '-I 2 2'
_cell_length_a 4.963
_cell_length_b 5.710
_cell_length_c 7.474
_cell_angle_alpha 90.00
_cell_angle_beta 90.00
_cell_angle_gamma 90.00
loop_
_atom_site_label
_atom_site_type_symbol
_atom_site_fract_x
_atom_site_fract_y
_atom_site_fract_z
_atom_site_occupancy
K1 K 0.000 0.000 0.000 1
Cd1 Cd 0.000 0.000 0.500 1
Ag1 Ag 0.000 0.500 0.202 1



Question: What is the formula in the sixth record?
Answer: ErGa2Pt4



Question: Look up the D(E_F) of the tenth one.
Answer: 3.6 states/eV/f.u.



Question: What is the V in the eleventh record?
Answer: 429.6 Å³ per cell